Entry 1:
A geometry-optimized Ba3SmRe2N6 structure, computed with PBE.

Lattice parameters (Å, degrees): 6.3433 6.3433 7.3524 90.00 90.00 120.00
With the nearest neighbours (Å) after each atom.
Fractional positions:
Ba  0.3333  0.6667  0.7132  6 N 3.17, 1 Re 3.48
Ba  0.6667  0.3333  0.2868  6 N 3.17, 1 Re 3.48
Ba  0.0000  0.0000  0.0000  6 N 2.85
Sm  0.0000  0.0000  0.5000  6 N 2.43
Re  0.6667  0.3333  0.7600  3 N 1.82
Re  0.3333  0.6667  0.2400  3 N 1.82
N  0.6567  0.8283  0.2911  1 Re 1.82
N  0.1717  0.3433  0.2911  1 Re 1.82
N  0.1717  0.8283  0.2911  1 Re 1.82
N  0.8283  0.6567  0.7089  1 Re 1.82
N  0.3433  0.1717  0.7089  1 Re 1.82
N  0.8283  0.1717  0.7089  1 Re 1.82

Output
crystal system	trigonal
formation energy from raw total energies	-0.770	eV per atom
final energy	-7.88	eV/atom
calculated density	6.60	g/cm3
Fermi-level density of states	0.37	states/eV per atom

---

Entry 2:
A geometry-optimized BaSrReN3 structure, computed with PBE.

Lattice parameters (Å, degrees): 6.4116 6.4116 7.1777 90.00 90.00 120.00
With the nearest neighbours (Å) after each atom.
Fractional positions:
Ba  0.6667  0.3333  0.2500  6 N 3.21, 2 Re 3.59
Ba  0.3333  0.6667  0.7500  6 N 3.21, 2 Re 3.59
Sr  0.0000  0.0000  0.5000  6 N 2.61
Sr  0.0000  0.0000  0.0000  6 N 2.61
Re  0.3333  0.6667  0.2500  3 N 1.80
Re  0.6667  0.3333  0.7500  3 N 1.80
N  0.8292  0.1708  0.7500  1 Re 1.80
N  0.1708  0.3416  0.2500  1 Re 1.80
N  0.3416  0.1708  0.7500  1 Re 1.80
N  0.6584  0.8292  0.2500  1 Re 1.80
N  0.8292  0.6584  0.7500  1 Re 1.80
N  0.1708  0.8292  0.2500  1 Re 1.80

Output
crystal system	hexagonal
formation energy from raw total energies	-0.751	eV per atom
final energy	-7.59	eV/atom
calculated density	5.89	g/cm3
Fermi-level density of states	0.00	states/eV per atom

---

Entry 3:
A geometry-optimized BaSr2ReN4 structure, computed with PBE.

Lattice parameters (Å, degrees): 6.1747 7.0018 7.8507 90.00 90.00 90.00
With the nearest neighbours (Å) after each atom.
Fractional positions:
Ba  0.9790  0.1154  0.5000  3 N 2.66-2.76
Ba  0.4790  0.8846  0.0000  3 N 2.66-2.76
Sr  0.4843  0.3517  0.2583  4 N 2.48-2.65
Sr  0.4843  0.3517  0.7417  4 N 2.48-2.65
Sr  0.9843  0.6483  0.7583  4 N 2.48-2.65
Sr  0.9843  0.6483  0.2417  4 N 2.48-2.65
Re  0.5046  0.8222  0.5000  4 N 1.85-1.87
Re  0.0046  0.1778  0.0000  4 N 1.85-1.87
N  0.2991  0.2296  0.0000  1 Re 1.85
N  0.7991  0.7704  0.5000  1 Re 1.85
N  0.4773  0.0878  0.5000  1 Re 1.87
N  0.9773  0.9122  0.0000  1 Re 1.87
N  0.3856  0.7118  0.6923  1 Re 1.85
N  0.8856  0.2882  0.1923  1 Re 1.85
N  0.8856  0.2882  0.8077  1 Re 1.85
N  0.3856  0.7118  0.3077  1 Re 1.85

Output
crystal system	orthorhombic
formation energy from raw total energies	-0.700	eV per atom
final energy	-7.08	eV/atom
calculated density	5.43	g/cm3
Fermi-level density of states	0.27	states/eV per atom

---

Entry 4:
A geometry-optimized Ba2SrRe2N6 structure, computed with PBE.

Lattice parameters (Å, degrees): 6.3369 6.3699 7.4205 117.38 90.00 119.83
With the nearest neighbours (Å) after each atom.
Fractional positions:
Ba  0.7118  0.4237  0.1912  5 N 2.88-3.00
Ba  0.2882  0.5763  0.8088  5 N 2.88-3.00
Sr  0.5000  0.0000  0.5000  6 N 2.57-2.71
Re  0.9707  0.9415  0.8013  3 N 1.79-1.80
Re  0.0293  0.0585  0.1987  3 N 1.79-1.80
N  0.7800  0.5599  0.6302  1 Re 1.79
N  0.1735  0.8785  0.2028  1 Re 1.80
N  0.2951  0.1215  0.7972  1 Re 1.80
N  0.8265  0.1215  0.7972  1 Re 1.80
N  0.7049  0.8785  0.2028  1 Re 1.80
N  0.2200  0.4401  0.3698  1 Re 1.79

Output
crystal system	monoclinic
formation energy from raw total energies	-0.647	eV per atom
final energy	-7.95	eV/atom
calculated density	6.17	g/cm3
Fermi-level density of states	0.00	states/eV per atom

---

Entry 5:
A geometry-optimized BaTbReN4 structure, computed with PBE.

Lattice parameters (Å, degrees): 5.9748 5.9888 7.4529 90.00 106.65 90.00
With the nearest neighbours (Å) after each atom.
Fractional positions:
Ba  0.7191  0.7500  0.9290  4 N 2.71-2.92
Ba  0.2809  0.2500  0.0710  4 N 2.71-2.92
Tb  0.7984  0.7500  0.4575  6 N 2.35-2.60
Tb  0.2016  0.2500  0.5425  6 N 2.35-2.60
Re  0.2558  0.7500  0.3340  4 N 1.80-1.85
Re  0.7442  0.2500  0.6660  4 N 1.80-1.85
N  0.9467  0.4903  0.6988  1 Re 1.85
N  0.0533  0.9903  0.3012  1 Re 1.85
N  0.0533  0.5097  0.3012  1 Re 1.85
N  0.9467  0.0097  0.6988  1 Re 1.85
N  0.4458  0.7500  0.1792  1 Re 1.84
N  0.5542  0.2500  0.8208  1 Re 1.84
N  0.4508  0.7500  0.5677  1 Re 1.80
N  0.5492  0.2500  0.4323  1 Re 1.80

Output
crystal system	monoclinic
formation energy from raw total energies	-0.878	eV per atom
final energy	-8.35	eV/atom
calculated density	7.00	g/cm3
Fermi-level density of states	0.00	states/eV per atom

---

Entry 6:
A geometry-optimized Ba3TbRe2N6 structure, computed with PBE.

Lattice parameters (Å, degrees): 6.2973 6.2973 7.3187 90.00 90.00 120.00
With the nearest neighbours (Å) after each atom.
Fractional positions:
Ba  0.3333  0.6667  0.7108  9 N 3.15-3.52, 1 Re 3.43
Ba  0.6667  0.3333  0.2892  9 N 3.15-3.52, 1 Re 3.43
Ba  0.0000  0.0000  0.0000  6 N 2.86
Tb  0.0000  0.0000  0.5000  6 N 2.39
Re  0.6667  0.3333  0.7576  3 N 1.82
Re  0.3333  0.6667  0.2424  3 N 1.82
N  0.6585  0.8292  0.2960  1 Re 1.82
N  0.1708  0.3415  0.2960  1 Re 1.82
N  0.1708  0.8292  0.2960  1 Re 1.82
N  0.8292  0.6585  0.7040  1 Re 1.82
N  0.3415  0.1708  0.7040  1 Re 1.82
N  0.8292  0.1708  0.7040  1 Re 1.82

Output
crystal system	trigonal
formation energy from raw total energies	-0.798	eV per atom
final energy	-7.90	eV/atom
calculated density	6.79	g/cm3
Fermi-level density of states	0.36	states/eV per atom

---

Entry 7:
A geometry-optimized BaReTeN2 structure, computed with PBE.

Lattice parameters (Å, degrees): 4.4878 4.4878 7.2155 90.00 90.00 90.00
With the nearest neighbours (Å) after each atom.
Fractional positions:
Re  0.5000  0.5000  0.5000  4 Te 3.17
Te  0.0000  0.0000  0.5000  4 Re 3.17
Ba  0.0000  0.0000  0.0000  4 N 2.24
N  0.0000  0.5000  0.0000  2 Ba 2.24
N  0.5000  0.0000  0.0000  2 Ba 2.24

Output
crystal system	tetragonal
formation energy from raw total energies	2.368	eV per atom
final energy	-4.46	eV/atom
energy above the lowest structure with this stoichiometry	2044	meV/atom
calculated density	5.47	g/cm3
Fermi-level density of states	0.56	states/eV per atom

---

Entry 8:
A geometry-optimized BaReTe2N structure, computed with PBE.

Lattice parameters (Å, degrees): 6.2812 6.2812 4.3450 90.00 90.00 90.00
With the nearest neighbours (Å) after each atom.
Fractional positions:
Re  0.5000  0.5000  0.5000  8 Te 3.82
Te  0.0000  0.5000  0.0000  2 Ba 3.14
Te  0.5000  0.0000  0.0000  2 Ba 3.14
Ba  0.0000  0.0000  0.0000  2 N 2.17
N  0.0000  0.0000  0.5000  2 Ba 2.17

Output
crystal system	tetragonal
formation energy from raw total energies	2.322	eV per atom
final energy	-3.47	eV/atom
energy above the lowest structure with this stoichiometry	2630	meV/atom
calculated density	5.74	g/cm3
Fermi-level density of states	1.59	states/eV per atom

---

Entry 9:
A geometry-optimized BaReTe2N structure, computed with PBE.

Lattice parameters (Å, degrees): 5.7651 5.7651 3.8483 90.00 90.00 90.00
With the nearest neighbours (Å) after each atom.
Fractional positions:
Re  0.0000  0.0000  0.0000  2 N 1.92
Te  0.0000  0.5000  0.0000  2 Re 2.88
Te  0.5000  0.0000  0.0000  2 Re 2.88
Ba  0.5000  0.5000  0.5000  8 Te 3.47, 2 Ba 3.85
N  0.0000  0.0000  0.5000  2 Re 1.92

Output
crystal system	tetragonal
formation energy from raw total energies	-0.307	eV per atom
final energy	-6.10	eV/atom
energy above the lowest structure with this stoichiometry	0	meV/atom
calculated density	7.70	g/cm3
Fermi-level density of states	0.48	states/eV per atom

---

Entry 10:
A geometry-optimized BaReTeN2 structure, computed with PBE.

Lattice parameters (Å, degrees): 4.2334 4.2334 5.5730 90.00 90.00 90.00
With the nearest neighbours (Å) after each atom.
Fractional positions:
Re  0.0000  0.0000  0.0000  4 N 2.12
Te  0.0000  0.0000  0.5000  2 Re 2.79, 4 Ba 2.99
Ba  0.5000  0.5000  0.5000  4 Te 2.99
N  0.0000  0.5000  0.0000  2 Re 2.12
N  0.5000  0.0000  0.0000  2 Re 2.12

Output
crystal system	tetragonal
formation energy from raw total energies	0.324	eV per atom
final energy	-6.51	eV/atom
energy above the lowest structure with this stoichiometry	0	meV/atom
calculated density	7.97	g/cm3
Fermi-level density of states	0.68	states/eV per atom

---

Entry 11:
A geometry-optimized Ba2ThRe2N6 structure, computed with PBE.

Lattice parameters (Å, degrees): 6.1794 6.1799 7.3074 115.03 90.00 120.00
With the nearest neighbours (Å) after each atom.
Fractional positions:
Ba  0.7113  0.4226  0.1339  9 N 3.01-3.17
Ba  0.2887  0.5774  0.8661  9 N 3.01-3.17
Th  0.5000  0.0000  0.5000  6 N 2.41
Re  0.9025  0.8050  0.7072  3 N 1.80
Re  0.0975  0.1950  0.2928  3 N 1.80
N  0.7519  0.5039  0.7539  1 Re 1.80
N  0.2480  0.9976  0.2459  1 Re 1.80
N  0.2504  0.0024  0.7541  1 Re 1.80
N  0.7520  0.0024  0.7541  1 Re 1.80
N  0.7496  0.9976  0.2459  1 Re 1.80
N  0.2481  0.4961  0.2461  1 Re 1.80

Output
crystal system	trigonal
formation energy from raw total energies	-0.751	eV per atom
final energy	-8.58	eV/atom
calculated density	7.58	g/cm3

---

Entry 12:
A geometry-optimized BaThReN4 structure, computed with PBE.

Lattice parameters (Å, degrees): 6.2362 5.9405 7.4860 90.00 106.17 90.00
With the nearest neighbours (Å) after each atom.
Fractional positions:
Ba  0.7187  0.7500  0.9258  4 N 2.74-3.00
Ba  0.2813  0.2500  0.0742  4 N 2.74-3.00
Th  0.7985  0.7500  0.4493  6 N 2.38-2.57
Th  0.2015  0.2500  0.5507  6 N 2.38-2.57
Re  0.2619  0.7500  0.3348  4 N 1.81-1.91
Re  0.7381  0.2500  0.6652  4 N 1.81-1.91
N  0.9510  0.4878  0.6918  1 Re 1.91
N  0.0490  0.9878  0.3082  1 Re 1.91
N  0.0490  0.5122  0.3082  1 Re 1.91
N  0.9510  0.0122  0.6918  1 Re 1.91
N  0.4410  0.7500  0.1762  1 Re 1.84
N  0.5590  0.2500  0.8238  1 Re 1.84
N  0.4494  0.7500  0.5673  1 Re 1.81
N  0.5506  0.2500  0.4327  1 Re 1.81

Output
crystal system	monoclinic
formation energy from raw total energies	-0.833	eV per atom
final energy	-8.70	eV/atom
calculated density	7.63	g/cm3
Fermi-level density of states	0.42	states/eV per atom